Arrangement w

Dy2HoH (PBE, relaxed); crystal system = trigonal; volume = 23.50 Å³ per atom; N(E_F) = 2.8 states/eV/cell; M_tot = 0.0000 μB/atom; density = 8.672 Mg/m³
1.0
-3.560 0.130 -0.412
-2.154 -0.857 2.736
-1.902 7.812 3.298
H Ho Dy
1 1 2
Cartesian
0.000 0.000 0.000
-3.808 3.543 2.811
-5.712 6.016 4.437
-1.904 1.069 1.186

Arrangement x

Dy2HoH (PBE, relaxed); crystal system = tetragonal; volume = 23.49 Å³ per atom; N(E_F) = 3.9 states/eV/cell; M_tot = 0.0000 μB/atom; density = 8.675 Mg/m³
1.0
3.341 0.000 0.000
0.000 3.341 0.000
0.000 0.000 8.418
H Ho Dy
1 1 2
Cartesian
1.671 1.671 0.000
1.671 1.671 4.209
0.000 0.000 6.797
0.000 0.000 1.621

The energy of each structure relative to the most stable one, in kJ/mol of atoms, is as follows: arrangement w 0.0; arrangement x 28.6.